1.
DFT (PBE) results for KSr2Pd after structural relaxation.

Output
Its calculated total energy is -0.0999 hartree per atom. The polymorph energy (0 for the lowest one) comes out at 0.000 eV/f.u. As for the space group: No. 160.

```
KSr2Pd
1.0
4.4735 0.0000 0.0000
2.2368 3.8742 0.0000
2.2368 1.2914 10.8793
Pd Sr K
1 2 1
direct
0.6664 0.6664 0.0008
0.0495 0.0495 0.8515
0.2835 0.2835 0.1494
0.5006 0.5006 0.4983
```

2.
DFT (PBE) results for KSr3Pd after structural relaxation.

Output
Its calculated total energy is -0.0896 hartree per atom. The polymorph energy (0 for the lowest one) comes out at 0.455 eV/f.u. As for the space group: No. 59.

```
KSr3Pd
1.0
5.3753 0.0000 0.8683
0.0000 8.2682 0.0000
-1.5735 0.0000 9.7407
Pd Sr K
2 6 2
direct
0.2500 0.7500 0.0938
0.7500 0.2500 0.9062
0.7500 0.9744 0.1338
0.2500 0.7500 0.4028
0.7500 0.2500 0.5972
0.2500 0.4744 0.8662
0.2500 0.0256 0.8662
0.7500 0.5256 0.1338
0.7500 0.7500 0.7040
0.2500 0.2500 0.2960
```

Look up the calculated total energy of the first one.
-0.0999 hartree per atom

Which value of calculated total energy does entry 2 give?
-0.0896 hartree per atom

What is the polymorph energy (0 for the lowest one) in the second record?
0.455 eV/f.u.